No. 1
Here is a relaxed structure of Pr2In3Pd from Alexandria. Energies are from GGA-PBE.

```
Pr2In3Pd
1.0
6.000 1.414 0.000
0.221 6.160 0.000
-3.110 -3.787 8.549
Pr In Pd
4 6 2
Direct
0.250 0.750 0.500
0.256 0.744 0.000
0.750 0.250 0.500
0.744 0.256 0.000
0.830 0.830 0.660
0.170 0.170 0.340
0.344 0.344 0.172
0.172 0.172 0.828
0.656 0.656 0.828
0.828 0.828 0.172
0.669 0.669 0.339
0.331 0.331 0.661
```

Computed properties:
ΔH_f (0 K) = -0.57 eV/atom
Uncorrected energy = -4.40 eV per atom
V = 26.109 A^3/atom

No. 2
Here is a relaxed structure of Pr8InPd2 from Alexandria. Energies are from GGA-PBE.

```
Pr8InPd2
1.0
-5.094 2.276 0.344
0.039 -3.957 7.416
4.473 7.115 -0.169
In Pr Pd
1 8 2
Direct
0.500 0.000 0.000
0.687 0.389 0.389
0.929 0.923 0.681
0.500 0.755 0.245
0.071 0.077 0.319
0.500 0.245 0.755
0.313 0.611 0.611
0.071 0.319 0.077
0.929 0.681 0.923
0.000 0.690 0.310
0.000 0.310 0.690
```

Computed properties:
ΔH_f (0 K) = -0.28 eV/atom
Uncorrected energy = -4.94 eV per atom
V = 31.547 A^3/atom

No. 3
Here is a relaxed structure of Pr3In3Pd2 from Alexandria. Energies are from GGA-PBE.

```
Pr3In3Pd2
1.0
5.799 0.000 0.000
0.000 8.567 0.000
0.000 0.000 16.724
Pr Pd In
12 8 12
Direct
0.884 0.535 0.611
0.384 0.965 0.111
0.116 0.465 0.111
0.139 0.168 0.750
0.639 0.332 0.250
0.116 0.465 0.389
0.616 0.035 0.611
0.361 0.668 0.750
0.861 0.832 0.250
0.384 0.965 0.389
0.616 0.035 0.889
0.884 0.535 0.889
0.621 0.601 0.386
0.121 0.899 0.886
0.879 0.101 0.386
0.879 0.101 0.114
0.121 0.899 0.614
0.379 0.399 0.886
0.379 0.399 0.614
0.621 0.601 0.114
0.605 0.316 0.034
0.860 0.825 0.750
0.105 0.184 0.966
0.640 0.325 0.750
0.140 0.175 0.250
0.395 0.684 0.534
0.895 0.816 0.034
0.360 0.675 0.250
0.605 0.316 0.466
0.105 0.184 0.534
0.895 0.816 0.466
0.395 0.684 0.966
```

Computed properties:
ΔH_f (0 K) = -0.63 eV/atom
Uncorrected energy = -4.75 eV per atom
V = 25.966 A^3/atom

No. 4
Here is a relaxed structure of PrIn2Pd6 from Alexandria. Energies are from GGA-PBE.

```
PrIn2Pd6
1.0
3.238 0.000 0.000
1.619 7.907 1.209
1.619 3.428 7.227
Pd In Pr
6 2 1
Direct
0.000 0.175 0.825
0.000 0.825 0.175
0.177 0.138 0.508
0.823 0.492 0.862
0.823 0.862 0.492
0.177 0.508 0.138
0.647 0.853 0.853
0.353 0.147 0.147
0.500 0.500 0.500
```

Computed properties:
ΔH_f (0 K) = -0.39 eV/atom
Uncorrected energy = -4.99 eV per atom
V = 19.069 A^3/atom

No. 5
Here is a relaxed structure of Pr6In2Pd from Alexandria. Energies are from GGA-PBE.

```
Pr6In2Pd
1.0
5.160 0.000 0.259
0.000 10.371 0.000
-0.523 0.000 10.360
Pr In Pd
12 4 2
Direct
0.000 0.384 0.116
0.000 0.021 0.185
0.000 0.685 0.521
0.000 0.616 0.884
0.500 0.185 0.979
0.500 0.479 0.685
0.500 0.815 0.021
0.000 0.315 0.479
0.500 0.521 0.315
0.000 0.979 0.815
0.500 0.116 0.616
0.500 0.884 0.384
0.000 0.295 0.795
0.500 0.795 0.705
0.500 0.205 0.295
0.000 0.705 0.205
0.500 0.500 0.000
0.000 0.000 0.500
```

Computed properties:
ΔH_f (0 K) = -0.34 eV/atom
Uncorrected energy = -4.72 eV per atom
V = 30.878 A^3/atom

No. 6
Here is a relaxed structure of PrIn2Pd5 from Alexandria. Energies are from GGA-PBE.

```
PrIn2Pd5
1.0
-0.603 2.712 -3.216
-6.164 3.794 1.548
-1.270 6.635 3.025
Pd In Pr
5 2 1
Direct
0.387 0.376 0.851
0.000 0.500 0.500
0.387 0.851 0.376
0.613 0.624 0.149
0.613 0.149 0.624
0.215 0.285 0.285
0.785 0.715 0.715
0.000 0.000 0.000
```

Computed properties:
ΔH_f (0 K) = -0.58 eV/atom
Uncorrected energy = -5.11 eV per atom
V = 20.067 A^3/atom

No. 7
Here is a relaxed structure of Pr3InPd8 from Alexandria. Energies are from GGA-PBE.

```
Pr3InPd8
1.0
5.513 0.000 0.000
2.756 4.774 0.000
2.756 1.591 9.000
Pr Pd In
3 8 1
Direct
0.377 0.377 0.868
0.506 0.506 0.481
0.991 0.991 0.026
0.437 0.437 0.185
0.689 0.689 0.934
0.438 0.939 0.685
0.437 0.940 0.185
0.189 0.189 0.434
0.940 0.437 0.185
0.939 0.438 0.685
0.939 0.939 0.685
0.868 0.868 0.397
```

Computed properties:
ΔH_f (0 K) = -0.71 eV/atom
Uncorrected energy = -5.59 eV per atom
V = 19.739 A^3/atom

No. 8
Here is a relaxed structure of Pr3InPd3 from Alexandria. Energies are from GGA-PBE.

```
Pr3InPd3
1.0
5.832 0.000 0.000
0.000 9.009 0.000
0.000 -4.505 7.802
Pd Pr In
6 6 2
Direct
0.250 0.682 0.644
0.250 0.962 0.318
0.750 0.644 0.962
0.250 0.356 0.038
0.750 0.038 0.682
0.750 0.318 0.356
0.750 0.353 0.042
0.750 0.958 0.312
0.750 0.688 0.647
0.250 0.042 0.688
0.250 0.647 0.958
0.250 0.312 0.353
0.750 0.333 0.667
0.250 0.667 0.333
```

Computed properties:
ΔH_f (0 K) = -0.51 eV/atom
Uncorrected energy = -5.18 eV per atom
V = 29.285 A^3/atom

No. 9
Here is a relaxed structure of Pr6In2Pd from Alexandria. Energies are from GGA-PBE.

```
Pr6In2Pd
1.0
3.907 0.000 0.000
0.000 8.234 -3.791
0.000 -0.834 9.026
Pr Pd In
6 1 2
Direct
0.000 0.750 0.750
0.500 0.000 0.600
0.000 0.000 0.250
0.000 0.250 0.000
0.500 0.400 0.400
0.500 0.600 0.000
0.500 0.000 0.000
0.000 0.667 0.333
0.000 0.333 0.667
```

Computed properties:
ΔH_f (0 K) = -0.39 eV/atom
Uncorrected energy = -4.76 eV per atom
V = 30.892 A^3/atom

No. 10
Here is a relaxed structure of Pr12InPd6 from Alexandria. Energies are from GGA-PBE.

```
Pr12InPd6
1.0
9.014 0.000 0.000
-3.005 8.498 0.000
-3.005 -4.249 7.360
Pr In Pd
12 1 6
Direct
0.816 0.700 0.516
0.884 0.184 0.700
0.300 0.484 0.184
0.116 0.816 0.300
0.484 0.184 0.300
0.184 0.300 0.484
0.700 0.884 0.184
0.700 0.516 0.816
0.516 0.816 0.700
0.184 0.700 0.884
0.816 0.300 0.116
0.300 0.116 0.816
0.000 0.000 0.000
0.132 0.632 0.500
0.868 0.368 0.500
0.632 0.500 0.132
0.500 0.132 0.632
0.500 0.868 0.368
0.368 0.500 0.868
```

Computed properties:
ΔH_f (0 K) = -0.52 eV/atom
Uncorrected energy = -5.33 eV per atom
V = 29.672 A^3/atom

No. 11
Here is a relaxed structure of PrIn3Pd from Alexandria. Energies are from GGA-PBE.

```
PrIn3Pd
1.0
4.528 0.000 0.000
0.000 9.094 0.000
0.000 0.000 11.817
In Pr Pd
12 4 4
Direct
0.750 0.611 0.309
0.750 0.934 0.587
0.750 0.111 0.191
0.750 0.434 0.913
0.250 0.389 0.691
0.750 0.139 0.788
0.250 0.861 0.212
0.250 0.889 0.809
0.250 0.361 0.288
0.250 0.566 0.087
0.250 0.066 0.413
0.750 0.639 0.712
0.750 0.309 0.489
0.250 0.691 0.511
0.250 0.191 0.989
0.750 0.809 0.011
0.750 0.402 0.146
0.250 0.098 0.646
0.250 0.598 0.854
0.750 0.902 0.354
```

Computed properties:
ΔH_f (0 K) = -0.54 eV/atom
Uncorrected energy = -4.18 eV per atom
V = 24.329 A^3/atom

No. 12
Here is a relaxed structure of PrIn3Pd3 from Alexandria. Energies are from GGA-PBE.

```
PrIn3Pd3
1.0
-6.044 -3.774 1.427
2.293 -1.097 6.808
-3.321 6.112 2.103
In Pd Pr
6 6 2
Direct
0.750 0.500 0.000
0.500 0.000 0.250
0.000 0.250 0.500
0.500 0.000 0.750
0.000 0.750 0.500
0.250 0.500 0.000
0.000 0.500 0.250
0.000 0.500 0.750
0.750 0.000 0.500
0.250 0.000 0.500
0.500 0.750 0.000
0.500 0.250 0.000
0.500 0.500 0.500
0.000 0.000 0.000
```

Computed properties:
ΔH_f (0 K) = -0.10 eV/atom
Uncorrected energy = -4.18 eV per atom
V = 27.413 A^3/atom